1.
VASP calculation (PBE-GGA) on a relaxed structure of AlAs2.

Properties
DOS at the Fermi energy = 2.3 states/eV per cell
calculated density = 4.42 g cm⁻³
calculated volume = 22.1 Å³/atom
crystal system = monoclinic
energy of formation = -0.10 eV per atom

Unit cell a=4.0893 b=4.0893 c=9.7827 alpha=97.70 beta=97.70 gamma=55.23
Positions (direct):
Al 0.0000 0.0000 0.0000
Al 0.0842 0.0842 0.4651
As 0.3914 0.3914 0.8111
As 0.6352 0.6352 0.6629
As 0.7037 0.7037 0.1024
As 0.7479 0.7479 0.3604

=====

2.
VASP calculation (PBE-GGA) on a relaxed structure of AlAs2.

Properties
DOS at the Fermi energy = 0.9 states/eV per cell
calculated density = 4.54 g cm⁻³
calculated volume = 21.6 Å³/atom
crystal system = trigonal
energy of formation = 0.08 eV per atom

Unit cell a=3.1186 b=3.1186 c=7.6840 alpha=90.00 beta=90.00 gamma=120.00
Positions (direct):
Al 0.0000 0.0000 0.0000
As 0.3333 0.6667 0.2511
As 0.6667 0.3333 0.7489

=====

3.
VASP calculation (PBE-GGA) on a relaxed structure of AlAs4.

Properties
DOS at the Fermi energy = 2.6 states/eV per cell
calculated density = 4.95 g cm⁻³
calculated volume = 21.9 Å³/atom
crystal system = tetragonal
energy of formation = 0.31 eV per atom

Unit cell a=5.4401 b=5.4401 c=5.4401 alpha=122.27 beta=122.27 gamma=86.11
Positions (direct):
Al 0.0000 0.0000 0.0000
As 0.2500 0.7500 0.5000
As 0.3288 0.3288 0.0000
As 0.6712 0.6712 0.0000
As 0.7500 0.2500 0.5000

=====

4.
VASP calculation (PBE-GGA) on a relaxed structure of Al5As3.

Properties
DOS at the Fermi energy = 3.0 states/eV per cell
calculated density = 4.02 g cm⁻³
calculated volume = 18.6 Å³/atom
crystal system = orthorhombic
energy of formation = 0.06 eV per atom

Unit cell a=5.8685 b=5.8685 c=4.9256 alpha=90.00 beta=90.00 gamma=118.74
Positions (direct):
Al 0.0000 0.0000 0.0000
Al 0.0000 0.5000 0.0000
Al 0.2801 0.2801 0.5000
Al 0.5000 0.0000 0.0000
Al 0.7199 0.7199 0.5000
As 0.1890 0.8110 0.5000
As 0.5000 0.5000 0.0000
As 0.8110 0.1890 0.5000

=====

5.
VASP calculation (PBE-GGA) on a relaxed structure of Al4As3.

Properties
DOS at the Fermi energy = 2.6 states/eV per cell
calculated density = 3.86 g cm⁻³
calculated volume = 20.4 Å³/atom
crystal system = tetragonal
energy of formation = 0.01 eV per atom

Unit cell a=10.7270 b=10.7270 c=10.7270 alpha=160.09 beta=160.09 gamma=28.30
Positions (direct):
Al 0.0597 0.0597 0.0000
Al 0.3088 0.3088 0.0000
Al 0.6912 0.6912 0.0000
Al 0.9403 0.9403 0.0000
As 0.1803 0.1803 0.0000
As 0.5000 0.5000 0.0000
As 0.8197 0.8197 0.0000

=====

6.
VASP calculation (PBE-GGA) on a relaxed structure of AlAs2.

Properties
DOS at the Fermi energy = 11.1 states/eV per cell
calculated density = 4.39 g cm⁻³
calculated volume = 22.3 Å³/atom
crystal system = orthorhombic
energy of formation = 0.03 eV per atom

Unit cell a=9.4850 b=9.4850 c=9.4850 alpha=128.24 beta=124.32 gamma=79.47
Positions (direct):
Al 0.0032 0.7906 0.5450
Al 0.2456 0.2906 0.2874
Al 0.2544 0.5418 0.0450
Al 0.4968 0.0418 0.7874
Al 0.5032 0.9582 0.2126
Al 0.7456 0.4582 0.9550
Al 0.7544 0.7094 0.7126
Al 0.9968 0.2094 0.4550
As 0.0000 0.0000 0.0000
As 0.0000 0.5000 0.5000
As 0.0063 0.2563 0.7500
As 0.2035 0.7500 0.9535
As 0.2500 0.0749 0.8249
As 0.2500 0.5749 0.3249
As 0.2965 0.2500 0.5465
As 0.4937 0.2437 0.2500
As 0.5000 0.0000 0.5000
As 0.5000 0.5000 0.0000
As 0.5063 0.7563 0.7500
As 0.7035 0.7500 0.4535
As 0.7500 0.4251 0.6751
As 0.7500 0.9251 0.1751
As 0.7965 0.2500 0.0465
As 0.9937 0.7437 0.2500

=====

7.
VASP calculation (PBE-GGA) on a relaxed structure of AlAs2.

Properties
DOS at the Fermi energy = 2.9 states/eV per cell
calculated density = 4.89 g cm⁻³
calculated volume = 20.0 Å³/atom
crystal system = orthorhombic
energy of formation = 0.14 eV per atom

Unit cell a=9.7672 b=9.7672 c=3.6290 alpha=90.00 beta=90.00 gamma=159.72
Positions (direct):
Al 0.1096 0.8904 0.7500
Al 0.8904 0.1096 0.2500
As 0.2798 0.7202 0.2500
As 0.4378 0.5622 0.7500
As 0.5622 0.4378 0.2500
As 0.7202 0.2798 0.7500

=====

8.
VASP calculation (PBE-GGA) on a relaxed structure of AlAs2.

Properties
DOS at the Fermi energy = 4.4 states/eV per cell
calculated density = 4.73 g cm⁻³
calculated volume = 20.7 Å³/atom
crystal system = cubic
energy of formation = 0.44 eV per atom

Unit cell a=5.6009 b=5.6009 c=5.6009 alpha=60.00 beta=60.00 gamma=60.00
Positions (direct):
Al 0.1250 0.1250 0.1250
Al 0.8750 0.8750 0.8750
As 0.0000 0.5000 0.5000
As 0.5000 0.0000 0.5000
As 0.5000 0.5000 0.0000
As 0.5000 0.5000 0.5000

=====

9.
VASP calculation (PBE-GGA) on a relaxed structure of AlAs2.

Properties
DOS at the Fermi energy = 2.0 states/eV per cell
calculated density = 4.69 g cm⁻³
calculated volume = 20.9 Å³/atom
crystal system = cubic
energy of formation = 0.12 eV per atom

Unit cell a=4.4579 b=4.4579 c=4.4579 alpha=60.00 beta=60.00 gamma=60.00
Positions (direct):
Al 0.0000 0.0000 0.0000
As 0.2500 0.2500 0.2500
As 0.7500 0.7500 0.7500

=====

10.
VASP calculation (PBE-GGA) on a relaxed structure of Al2As.

Properties
DOS at the Fermi energy = 3.4 states/eV per cell
calculated density = 3.99 g cm⁻³
calculated volume = 17.9 Å³/atom
crystal system = hexagonal
energy of formation = 0.08 eV per atom

Unit cell a=4.6662 b=4.6662 c=5.6849 alpha=90.00 beta=90.00 gamma=120.00
Positions (direct):
Al 0.0000 0.0000 0.0000
Al 0.0000 0.0000 0.5000
Al 0.3333 0.6667 0.2500
Al 0.6667 0.3333 0.7500
As 0.3333 0.6667 0.7500
As 0.6667 0.3333 0.2500

=====

11.
VASP calculation (PBE-GGA) on a relaxed structure of AlAs4.

Properties
DOS at the Fermi energy = 4.2 states/eV per cell
calculated density = 4.84 g cm⁻³
calculated volume = 22.4 Å³/atom
crystal system = cubic
energy of formation = 0.67 eV per atom

Unit cell a=4.8206 b=4.8206 c=4.8206 alpha=90.00 beta=90.00 gamma=90.00
Positions (direct):
Al 0.0000 0.0000 0.0000
As 0.0000 0.0000 0.5000
As 0.0000 0.5000 0.0000
As 0.5000 0.0000 0.0000
As 0.5000 0.5000 0.5000

=====

12.
VASP calculation (PBE-GGA) on a relaxed structure of Al2As.

Properties
DOS at the Fermi energy = 1.2 states/eV per cell
calculated density = 4.00 g cm⁻³
calculated volume = 17.8 Å³/atom
crystal system = trigonal
energy of formation = 0.12 eV per atom

Unit cell a=4.6353 b=4.6353 c=2.8760 alpha=90.00 beta=90.00 gamma=120.00
Positions (direct):
Al 0.3333 0.6667 0.2669
Al 0.6667 0.3333 0.7331
As 0.0000 0.0000 0.5000